1.
VASP calculation (PBE) on a relaxed structure of Pr2CdNi9.

Computed properties:
Energy (eV/atom): -5.3527
SG: R-3m (166)
Energy relative to the elements (eV/atom): -0.14

The structure in POSCAR format:
```
Pr2CdNi9
1.0
4.992 0.000 0.000
2.496 4.323 0.000
2.496 1.441 8.229
Ni Pr Cd
9 2 1
Direct
0.579 0.080 0.762
0.920 0.421 0.238
0.500 0.500 0.500
0.080 0.579 0.762
0.421 0.920 0.238
0.667 0.667 0.998
0.579 0.579 0.762
0.421 0.421 0.238
0.333 0.333 0.002
0.865 0.865 0.404
0.135 0.135 0.596
0.000 0.000 0.000
```

2.
VASP calculation (PBE) on a relaxed structure of NdPaOs.

Computed properties:
Energy (eV/atom): -8.4360
SG: P3m1 (156)
Energy above the lowest structure with this stoichiometry (eV per atom): 0.201
Energy relative to the elements (eV/atom): 0.06

The structure in POSCAR format:
```
NdPaOs
1.0
4.701 0.000 0.000
0.000 4.461 0.000
0.000 -2.230 3.863
Os Pa Nd
1 1 1
Direct
0.120 0.000 0.000
0.200 0.667 0.333
0.679 0.333 0.667
```

3.
VASP calculation (PBE) on a relaxed structure of Dy8HoGa6.

Computed properties:
Energy (eV/atom): -4.3344
SG: R-3 (148)
Energy relative to the elements (eV/atom): -0.36

The structure in POSCAR format:
```
Dy8HoGa6
1.0
8.622 0.000 0.000
4.311 7.467 0.000
4.311 2.489 6.160
Dy Ga Ho
8 6 1
Direct
0.888 0.555 0.335
0.333 0.333 0.000
0.112 0.445 0.665
0.445 0.778 0.665
0.555 0.222 0.335
0.778 0.112 0.665
0.222 0.888 0.335
0.667 0.667 0.000
0.941 0.274 0.177
0.392 0.059 0.823
0.608 0.941 0.177
0.726 0.392 0.823
0.059 0.726 0.823
0.274 0.608 0.177
0.000 0.000 0.000
```

4.
VASP calculation (PBE) on a relaxed structure of Li2IrRu.

Computed properties:
Energy (eV/atom): -5.4803
SG: P4mm (99)
Energy above the lowest structure with this stoichiometry (eV per atom): 0.058
Energy relative to the elements (eV/atom): 0.01

The structure in POSCAR format:
```
Li2IrRu
1.0
-0.961 -2.549 -0.583
2.577 -0.819 -0.668
1.152 -2.017 6.922
Ru Ir Li
1 1 2
Direct
0.000 0.000 0.511
0.500 0.500 0.744
0.500 0.500 0.258
0.000 0.000 0.988
```

5.
VASP calculation (PBE) on a relaxed structure of Rb2TlPtI.

Computed properties:
Energy (eV/atom): -2.9142
SG: P4/mmm (123)
Formation energy without anion corrections (eV per atom): -0.536

The structure in POSCAR format:
```
Rb2TlPtI
1.0
6.486 0.000 0.000
0.000 6.486 0.000
0.000 0.000 5.275
Rb Tl Pt I
2 1 1 1
Direct
0.500 0.000 0.000
0.000 0.500 0.000
0.000 0.000 0.500
0.000 0.000 0.000
0.500 0.500 0.500
```

6.
VASP calculation (PBE) on a relaxed structure of AsOs3.

Computed properties:
Energy (eV/atom): -9.1648
SG: C2/m (12)
Energy above the lowest structure with this stoichiometry (eV per atom): 0.168
Energy relative to the elements (eV/atom): 0.42

The structure in POSCAR format:
```
AsOs3
1.0
-0.246 3.162 -3.706
-2.506 1.431 -3.932
-2.475 2.924 2.356
Os As
3 1
Direct
0.500 0.500 0.500
0.775 0.775 0.736
0.225 0.225 0.264
0.000 0.000 0.000
```

7.
VASP calculation (PBE) on a relaxed structure of KAgTeN2.

Computed properties:
Energy (eV/atom): -2.7143
SG: P4/mmm (123)
Energy above the lowest structure with this stoichiometry (eV per atom): 0.601
Formation energy without anion corrections (eV per atom): 2.034

The structure in POSCAR format:
```
KAgTeN2
1.0
4.860 0.000 0.000
0.000 6.904 0.000
0.000 0.000 4.860
N Ag Te K
2 1 1 1
Direct
0.000 0.000 0.500
0.500 0.000 0.000
0.500 0.500 0.500
0.000 0.500 0.000
0.000 0.000 0.000
```

8.
VASP calculation (PBE) on a relaxed structure of CaRu2.

Computed properties:
Energy (eV/atom): -5.2065
SG: P4/mmm (123)
Energy relative to the elements (eV/atom): 1.64

The structure in POSCAR format:
```
CaRu2
1.0
-1.666 1.873 -4.357
-3.245 -3.817 -0.400
-1.758 1.362 1.258
Ca Ru
1 2
Direct
0.000 0.000 0.000
0.000 0.500 0.500
0.500 0.000 0.500
```

9.
VASP calculation (PBE) on a relaxed structure of CsZn4In3Cl12.

Computed properties:
Energy (eV/atom): -2.9131
SG: R32 (155)
Formation energy without anion corrections (eV per atom): -1.097

The structure in POSCAR format:
```
CsZn4In3Cl12
1.0
-1.829 -3.897 8.591
1.190 -7.586 -5.777
8.856 3.611 0.933
Cl Zn In Cs
12 4 3 1
Direct
0.352 0.960 0.188
0.648 0.812 0.040
0.354 0.646 0.500
0.960 0.188 0.352
0.500 0.354 0.646
0.646 0.500 0.354
0.500 0.102 0.898
0.102 0.898 0.500
0.188 0.352 0.960
0.040 0.648 0.812
0.812 0.040 0.648
0.898 0.500 0.102
0.044 0.500 0.956
0.956 0.044 0.500
0.500 0.500 0.500
0.500 0.956 0.044
0.000 0.541 0.459
0.459 0.000 0.541
0.541 0.459 0.000
0.000 0.000 0.000
```

10.
VASP calculation (PBE) on a relaxed structure of LiAcBeAu3.

Computed properties:
Energy (eV/atom): -3.7084
SG: Cmcm (63)
Energy relative to the elements (eV/atom): -0.44

The structure in POSCAR format:
```
LiAcBeAu3
1.0
6.094 0.000 0.000
0.000 6.427 0.000
0.000 -3.213 6.343
Ac Au Be Li
2 6 2 2
Direct
0.250 0.722 0.444
0.750 0.278 0.556
0.250 0.181 0.363
0.750 0.819 0.637
0.000 0.730 0.000
0.500 0.730 0.000
0.000 0.270 0.000
0.500 0.270 0.000
0.750 0.007 0.013
0.250 0.993 0.987
0.750 0.617 0.235
0.250 0.383 0.765
```

11.
VASP calculation (PBE) on a relaxed structure of K2TiInPb.

Computed properties:
Energy (eV/atom): -2.5011
SG: P4/mmm (123)
Energy relative to the elements (eV/atom): 0.81

The structure in POSCAR format:
```
K2TiInPb
1.0
6.266 0.000 0.000
0.000 5.427 0.000
0.000 0.000 6.266
K Pb In Ti
2 1 1 1
Direct
0.500 0.000 0.000
0.000 0.000 0.500
0.500 0.500 0.500
0.000 0.500 0.000
0.000 0.000 0.000
```

12.
VASP calculation (PBE) on a relaxed structure of KSrTa.

Computed properties:
Energy (eV/atom): -4.0710
SG: P1 (1)
Energy above the lowest structure with this stoichiometry (eV per atom): 0.406
Energy relative to the elements (eV/atom): 0.81

The structure in POSCAR format:
```
KSrTa
1.0
6.713 0.000 0.001
2.929 10.317 -0.001
0.943 0.333 3.431
Ta Sr K
2 2 2
Direct
0.807 0.673 0.378
0.550 0.799 0.945
0.045 0.886 0.655
0.490 0.072 0.342
0.345 0.529 0.682
0.909 0.325 0.997
```